# 1
! CsSiF2 (PBE, optimized geometry); values from VASP
&SYSTEM
  ibrav = 0, nat = 4, ntyp = 3
/
ATOMIC_SPECIES
Cs 132.91 Cs.upf
Si 28.09 Si.upf
F 19.00 F.upf
ATOMIC_POSITIONS crystal
Cs 0.000 0.000 0.000
Si 0.500 0.500 0.500
F 0.206 0.206 0.206
F 0.794 0.794 0.794
CELL_PARAMETERS angstrom
2.047 1.182 5.588
-2.047 1.182 5.588
0.000 -2.364 5.588
! **E above lowest polymorph**: 312 meV per atom
! **Crystal system**: trigonal
! **Uncorrected formation energy**: -1393.6 meV per atom
! **Energy**: -3.898 eV/atom
! **D(E_F)**: 0.00 states/eV/cell

# 2
! CsSiF5 (PBE, optimized geometry); values from VASP
&SYSTEM
  ibrav = 0, nat = 7, ntyp = 3
/
ATOMIC_SPECIES
Cs 132.91 Cs.upf
Si 28.09 Si.upf
F 19.00 F.upf
ATOMIC_POSITIONS crystal
Cs 0.000 0.000 0.000
Si 0.406 0.906 0.500
F 0.095 0.595 0.500
F 0.239 0.922 0.317
F 0.531 0.260 0.729
F 0.531 0.803 0.271
F 0.605 0.922 0.683
CELL_PARAMETERS angstrom
-3.319 4.593 2.635
3.319 -4.593 2.635
3.319 4.593 -2.635
! **Crystal system**: orthorhombic
! **Uncorrected formation energy**: -3133.3 meV per atom
! **Energy**: -5.367 eV/atom
! **D(E_F)**: 0.00 states/eV/cell

# 3
! Cs2SiF7 (PBE, optimized geometry); values from VASP
&SYSTEM
  ibrav = 0, nat = 20, ntyp = 3
/
ATOMIC_SPECIES
Cs 132.91 Cs.upf
Si 28.09 Si.upf
F 19.00 F.upf
ATOMIC_POSITIONS crystal
Cs 0.122 0.199 0.059
Cs 0.199 0.122 0.559
Cs 0.801 0.878 0.441
Cs 0.878 0.801 0.941
Si 0.481 0.519 0.750
Si 0.519 0.481 0.250
F 0.173 0.827 0.750
F 0.232 0.645 0.279
F 0.270 0.548 0.802
F 0.348 0.407 0.561
F 0.355 0.768 0.221
F 0.407 0.348 0.061
F 0.452 0.730 0.698
F 0.548 0.270 0.302
F 0.593 0.652 0.939
F 0.645 0.232 0.779
F 0.652 0.593 0.439
F 0.730 0.452 0.198
F 0.768 0.355 0.721
F 0.827 0.173 0.250
CELL_PARAMETERS angstrom
7.306 -3.085 0.000
7.306 3.085 0.000
-7.211 0.000 8.595
! **Crystal system**: monoclinic
! **Uncorrected formation energy**: -2649.8 meV per atom
! **Energy**: -4.673 eV/atom

# 4
! Cs2SiF (PBE, optimized geometry); values from VASP
&SYSTEM
  ibrav = 0, nat = 8, ntyp = 3
/
ATOMIC_SPECIES
Cs 132.91 Cs.upf
Si 28.09 Si.upf
F 19.00 F.upf
ATOMIC_POSITIONS crystal
Cs 0.037 0.625 0.912
Cs 0.375 0.287 0.412
Cs 0.713 0.125 0.088
Cs 0.875 0.963 0.588
Si 0.250 0.750 0.500
Si 0.500 0.500 0.000
F 0.000 0.000 0.000
F 0.750 0.250 0.500
CELL_PARAMETERS angstrom
-4.337 4.337 4.924
4.337 -4.337 4.924
4.337 4.337 -4.924
! **E above lowest polymorph**: 0 meV per atom
! **Crystal system**: tetragonal
! **Uncorrected formation energy**: -757.9 meV per atom
! **Energy**: -3.008 eV/atom
! **D(E_F)**: 0.00 states/eV/cell

# 5
! Cs3SiF (PBE, optimized geometry); values from VASP
&SYSTEM
  ibrav = 0, nat = 5, ntyp = 3
/
ATOMIC_SPECIES
Cs 132.91 Cs.upf
Si 28.09 Si.upf
F 19.00 F.upf
ATOMIC_POSITIONS crystal
Cs 0.000 0.000 0.500
Cs 0.000 0.500 0.000
Cs 0.500 0.000 0.000
Si 0.500 0.500 0.500
F 0.000 0.000 0.000
CELL_PARAMETERS angstrom
5.942 0.000 0.000
0.000 5.942 0.000
0.000 0.000 5.942
! **E above lowest polymorph**: 0 meV per atom
! **Crystal system**: cubic
! **Uncorrected formation energy**: -790.5 meV per atom
! **Energy**: -2.761 eV/atom
! **D(E_F)**: 2.33 states/eV/cell

# 6
! CsSiF2 (PBE, optimized geometry); values from VASP
&SYSTEM
  ibrav = 0, nat = 4, ntyp = 3
/
ATOMIC_SPECIES
Cs 132.91 Cs.upf
Si 28.09 Si.upf
F 19.00 F.upf
ATOMIC_POSITIONS crystal
Cs 0.000 0.000 0.000
Si 0.500 0.500 0.500
F 0.415 0.415 0.415
F 0.585 0.585 0.585
CELL_PARAMETERS angstrom
1.978 1.142 7.430
-1.978 1.142 7.430
0.000 -2.283 7.430
! **E above lowest polymorph**: 0 meV per atom
! **Crystal system**: trigonal
! **Uncorrected formation energy**: -1705.4 meV per atom
! **Energy**: -4.210 eV/atom
! **D(E_F)**: 0.85 states/eV/cell

# 7
! Cs2SiF6 (PBE, optimized geometry); values from VASP
&SYSTEM
  ibrav = 0, nat = 9, ntyp = 3
/
ATOMIC_SPECIES
Cs 132.91 Cs.upf
Si 28.09 Si.upf
F 19.00 F.upf
ATOMIC_POSITIONS crystal
Cs 0.250 0.250 0.250
Cs 0.750 0.750 0.750
Si 0.000 0.000 0.000
F 0.191 0.191 0.809
F 0.191 0.809 0.191
F 0.191 0.809 0.809
F 0.809 0.191 0.191
F 0.809 0.191 0.809
F 0.809 0.809 0.191
CELL_PARAMETERS angstrom
0.000 4.518 4.518
4.518 0.000 4.518
4.518 4.518 0.000
! **Crystal system**: cubic
! **Uncorrected formation energy**: -3164.3 meV per atom
! **Energy**: -5.204 eV/atom
! **D(E_F)**: 0.00 states/eV/cell

# 8
! CsSiF6 (PBE, optimized geometry); values from VASP
&SYSTEM
  ibrav = 0, nat = 8, ntyp = 3
/
ATOMIC_SPECIES
Cs 132.91 Cs.upf
Si 28.09 Si.upf
F 19.00 F.upf
ATOMIC_POSITIONS crystal
Cs 0.000 0.000 0.000
Si 0.500 0.500 0.500
F 0.153 0.578 0.578
F 0.422 0.422 0.847
F 0.422 0.847 0.422
F 0.578 0.153 0.578
F 0.578 0.578 0.153
F 0.847 0.422 0.422
CELL_PARAMETERS angstrom
2.837 1.638 5.145
-2.837 1.638 5.145
0.000 -3.276 5.145
! **Crystal system**: trigonal
! **Uncorrected formation energy**: -2725.6 meV per atom
! **Energy**: -4.914 eV/atom
! **D(E_F)**: 9.77 states/eV/cell